# YSnSbI2 PBEsol relaxed
data_YSnSbI2
_chemical_formula_sum 'Y1 Sn1 Sb1 I2'
_cell_length_a 5.693
_cell_length_b 5.693
_cell_length_c 6.047
_cell_angle_alpha 90.00
_cell_angle_beta 90.00
_cell_angle_gamma 90.00
_space_group_name_H-M_alt 'P 1'
_space_group_IT_number 1
_space_group_name_Hall 'P 1'
loop_
_atom_site_label
_atom_site_type_symbol
_atom_site_fract_x
_atom_site_fract_y
_atom_site_fract_z
Y1 Y 0.000 0.000 0.000
Sn1 Sn 0.500 0.500 0.500
Sb1 Sb 0.000 0.000 0.500
I1 I 0.000 0.500 0.000
I2 I 0.500 0.000 0.000
# total DFT energy (no corrections) = -20.12 eV per cell
# M_tot = 0.0 Bohr magnetons per cell